The following is a PBE calculation of a geometry-optimized SrTeRh2 structure, from Alexandria.

Cell and atoms, written as extended XYZ:
```
4
Lattice="-0.710 0.439 -4.871 3.851 -0.224 -3.089 0.580 -3.925 -2.945" Properties=species:S:1:pos:R:3 pbc="T T T"
Rh 0.000 0.000 0.000
Rh 0.930 -0.927 -2.726
Sr 1.860 -1.855 -5.452
Te 2.791 -2.782 -8.178
```

Computed properties:
space group	F-43m
spin magnetization	1.55	μB/cell
energy	-4.7909	eV/atom
energy above the most stable polymorph in this dataset	591	meV/atom